Entry 1:
Compound: HfTiGaAu2
Source: Alexandria
Functional: PBE
Structure: relaxed

Cell and atoms, written as extended XYZ:
```
5
Lattice="4.702 0.000 0.000 0.000 4.750 0.000 0.000 0.000 4.702" Properties=species:S:1:pos:R:3 pbc="T T T"
Hf 2.351 2.375 2.351
Au 0.000 0.000 2.351
Au 2.351 0.000 0.000
Ti 0.000 2.375 0.000
Ga 0.000 0.000 0.000
```

Summary:
Its final energy is -5.066 eV/atom.

---

Entry 2:
Compound: TlSb2Te4
Source: Alexandria
Functional: PBE
Structure: relaxed

Cell and atoms, written as extended XYZ:
```
14
Lattice="-0.025 -3.157 2.920 6.052 -1.295 -4.514 8.685 8.458 9.218" Properties=species:S:1:pos:R:3 pbc="T T T"
Te 6.567 0.068 3.296
Te 11.669 2.307 5.760
Te 4.320 -2.120 0.911
Te 4.330 2.651 6.069
Te -0.012 -1.578 1.460
Te 10.392 6.127 6.713
Te 3.043 1.700 1.863
Te 8.145 3.939 4.328
Sb 2.230 -0.299 -0.304
Sb 9.191 1.100 4.434
Sb 12.483 4.306 7.927
Sb 5.521 2.907 3.189
Tl 7.502 4.289 7.867
Tl 7.210 -0.282 -0.244
```

Summary:
The calculation puts the formation energy without anion corrections at -0.09 eV per atom. Its final energy is -3.399 eV/atom. For the relative energy among the computed polymorphs, the calculation gives 48 meV/atom.

---

Entry 3:
Compound: Pr2SmY6Sc3
Source: Alexandria
Functional: PBE
Structure: relaxed

Cell and atoms, written as extended XYZ:
```
12
Lattice="6.134 -0.001 0.014 -3.066 5.312 0.014 -1.049 -1.816 11.409" Properties=species:S:1:pos:R:3 pbc="T T T"
Y 2.036 -0.011 3.001
Y -1.027 1.758 3.001
Y -0.021 -0.037 8.424
Y 3.046 1.737 8.435
Y 2.040 3.532 3.013
Y -0.017 3.506 8.435
Pr -0.001 3.542 0.014
Pr 3.068 1.770 0.014
Sc -2.060 3.520 5.718
Sc 1.009 1.748 5.718
Sc 4.079 -0.025 5.718
Sm 0.000 0.000 0.000
```

Summary:
Its final energy is -5.952 eV/atom.